[1]
Compound: Cs2SiBr4
Source: Alexandria via LeMat-Bulk
Functional: PBE
Structure: optimized geometry

Output
SG: I4/mmm (139)
DFT total energy, eV/cell: -22.1

Lattice parameters (Å, degrees): 9.8632 9.8632 9.8632 147.64 147.64 46.41
Closest atoms and distances in Å follow each position.
Fractional coordinates of all 7 atoms:
Cs1 0.1424 0.1424 0.0000  9 Br 3.70-3.89
Cs2 0.8576 0.8576 0.0000  9 Br 3.70-3.89
Si1 0.5000 0.5000 0.0000  6 Br 2.75-2.78
Br1 0.0000 0.5000 0.5000  2 Si 2.75
Br2 0.3464 0.3464 0.0000  1 Si 2.78
Br3 0.5000 0.0000 0.5000  2 Si 2.75
Br4 0.6536 0.6536 0.0000  1 Si 2.78

=====

[2]
Compound: CsSiBr
Source: Alexandria via LeMat-Bulk
Functional: PBE
Structure: optimized geometry

Output
SG: Cm (8)
DFT total energy, eV/cell: -20.2

Lattice parameters (Å, degrees): 4.1636 4.1636 13.7668 90.01 90.01 60.01
Closest atoms and distances in Å follow each position.
Fractional coordinates of all 6 atoms:
Cs1 0.0000 0.0000 0.0000  6 Br 3.47-3.49
Cs2 0.6679 0.6679 0.3694  3 Br 3.50-3.51, 3 Si 3.81
Si1 0.0020 0.0020 0.5840  3 Si 2.50
Si2 0.3353 0.3353 0.6340  3 Si 2.50, 1 Br 2.53
Br1 0.3338 0.3338 0.1840  6 Cs 3.49-3.51
Br2 0.3341 0.3341 0.8176  1 Si 2.53

=====

[3]
Compound: Cs3Si5Br12
Source: Alexandria via LeMat-Bulk
Functional: PBE
Structure: optimized geometry

Output
SG: Ia-3d (230)
DFT total energy, eV/cell: -248.2

Lattice parameters (Å, degrees): 15.9240 15.9240 15.9240 109.47 109.47 109.47
Closest atoms and distances in Å follow each position.
Fractional coordinates of all 80 atoms:
Cs1 0.1250 0.2500 0.3750  8 Br 3.68-3.92
Cs2 0.1250 0.3750 0.7500  8 Br 3.68-3.92
Cs3 0.2500 0.3750 0.1250  8 Br 3.68-3.92
Cs4 0.2500 0.8750 0.6250  8 Br 3.68-3.92
Cs5 0.3750 0.1250 0.2500  8 Br 3.68-3.92
Cs6 0.3750 0.7500 0.1250  8 Br 3.68-3.92
Cs7 0.6250 0.2500 0.8750  8 Br 3.68-3.92
Cs8 0.6250 0.8750 0.7500  8 Br 3.68-3.92
Cs9 0.7500 0.1250 0.3750  8 Br 3.68-3.92
Cs10 0.7500 0.6250 0.8750  8 Br 3.68-3.92
Cs11 0.8750 0.6250 0.2500  8 Br 3.68-3.92
Cs12 0.8750 0.7500 0.6250  8 Br 3.68-3.92
Si1 0.0000 0.0000 0.0000  6 Br 2.81
Si2 0.0000 0.0000 0.5000  6 Br 2.81
Si3 0.0000 0.5000 0.0000  6 Br 2.81
Si4 0.0000 0.5000 0.5000  6 Br 2.81
Si5 0.1250 0.7500 0.8750  4 Br 2.65
Si6 0.1250 0.8750 0.2500  4 Br 2.65
Si7 0.2500 0.1250 0.8750  4 Br 2.65
Si8 0.2500 0.6250 0.3750  4 Br 2.65
Si9 0.3750 0.2500 0.6250  4 Br 2.65
Si10 0.3750 0.6250 0.7500  4 Br 2.65
Si11 0.5000 0.0000 0.0000  6 Br 2.81
Si12 0.5000 0.0000 0.5000  6 Br 2.81
Si13 0.5000 0.5000 0.0000  6 Br 2.81
Si14 0.5000 0.5000 0.5000  6 Br 2.81
Si15 0.6250 0.3750 0.2500  4 Br 2.65
Si16 0.6250 0.7500 0.3750  4 Br 2.65
Si17 0.7500 0.3750 0.6250  4 Br 2.65
Si18 0.7500 0.8750 0.1250  4 Br 2.65
Si19 0.8750 0.1250 0.7500  4 Br 2.65
Si20 0.8750 0.2500 0.1250  4 Br 2.65
Br1 0.0024 0.1832 0.1039  2 Si 2.65-2.81
Br2 0.0024 0.3193 0.8985  2 Si 2.65-2.81
Br3 0.0793 0.6832 0.6807  2 Si 2.65-2.81
Br4 0.0793 0.8961 0.3985  2 Si 2.65-2.81
Br5 0.1015 0.6039 0.4207  2 Si 2.65-2.81
Br6 0.1015 0.9976 0.6807  2 Si 2.65-2.81
Br7 0.1039 0.0024 0.1832  2 Si 2.65-2.81
Br8 0.1039 0.6015 0.9207  2 Si 2.65-2.81
Br9 0.1807 0.1832 0.5793  2 Si 2.65-2.81
Br10 0.1807 0.4976 0.6015  2 Si 2.65-2.81
Br11 0.1832 0.1039 0.0024  2 Si 2.65-2.81
Br12 0.1832 0.5793 0.1807  2 Si 2.65-2.81
Br13 0.3168 0.3193 0.9207  2 Si 2.65-2.81
Br14 0.3168 0.4976 0.3961  2 Si 2.65-2.81
Br15 0.3193 0.8985 0.0024  2 Si 2.65-2.81
Br16 0.3193 0.9207 0.3168  2 Si 2.65-2.81
Br17 0.3961 0.3168 0.4976  2 Si 2.65-2.81
Br18 0.3961 0.5793 0.8985  2 Si 2.65-2.81
Br19 0.3985 0.0793 0.8961  2 Si 2.65-2.81
Br20 0.3985 0.8193 0.5024  2 Si 2.65-2.81
Br21 0.4207 0.1015 0.6039  2 Si 2.65-2.81
Br22 0.4207 0.8193 0.8168  2 Si 2.65-2.81
Br23 0.4976 0.3961 0.3168  2 Si 2.65-2.81
Br24 0.4976 0.6015 0.1807  2 Si 2.65-2.81
Br25 0.5024 0.3985 0.8193  2 Si 2.65-2.81
Br26 0.5024 0.6039 0.6832  2 Si 2.65-2.81
Br27 0.5793 0.1807 0.1832  2 Si 2.65-2.81
Br28 0.5793 0.8985 0.3961  2 Si 2.65-2.81
Br29 0.6015 0.1807 0.4976  2 Si 2.65-2.81
Br30 0.6015 0.9207 0.1039  2 Si 2.65-2.81
Br31 0.6039 0.4207 0.1015  2 Si 2.65-2.81
Br32 0.6039 0.6832 0.5024  2 Si 2.65-2.81
Br33 0.6807 0.0793 0.6832  2 Si 2.65-2.81
Br34 0.6807 0.1015 0.9976  2 Si 2.65-2.81
Br35 0.6832 0.5024 0.6039  2 Si 2.65-2.81
Br36 0.6832 0.6807 0.0793  2 Si 2.65-2.81
Br37 0.8168 0.4207 0.8193  2 Si 2.65-2.81
Br38 0.8168 0.8961 0.9976  2 Si 2.65-2.81
Br39 0.8193 0.5024 0.3985  2 Si 2.65-2.81
Br40 0.8193 0.8168 0.4207  2 Si 2.65-2.81
Br41 0.8961 0.3985 0.0793  2 Si 2.65-2.81
Br42 0.8961 0.9976 0.8168  2 Si 2.65-2.81
Br43 0.8985 0.0024 0.3193  2 Si 2.65-2.81
Br44 0.8985 0.3961 0.5793  2 Si 2.65-2.81
Br45 0.9207 0.1039 0.6015  2 Si 2.65-2.81
Br46 0.9207 0.3168 0.3193  2 Si 2.65-2.81
Br47 0.9976 0.6807 0.1015  2 Si 2.65-2.81
Br48 0.9976 0.8168 0.8961  2 Si 2.65-2.81

=====

[4]
Compound: CsSiBr6
Source: Alexandria via LeMat-Bulk
Functional: PBE
Structure: optimized geometry

Output
SG: C2/m (12)
DFT total energy, eV/cell: -22.2

Lattice parameters (Å, degrees): 6.7114 6.7114 6.7853 100.67 100.67 98.29
Closest atoms and distances in Å follow each position.
Fractional coordinates of all 8 atoms:
Cs1 0.0000 0.0000 0.0000  12 Br 3.83-4.06
Si1 0.5000 0.5000 0.5000  6 Br 2.41
Br1 0.2334 0.5678 0.2439  1 Si 2.41
Br2 0.2489 0.2489 0.5783  1 Si 2.41
Br3 0.4322 0.7666 0.7561  1 Si 2.41
Br4 0.5678 0.2334 0.2439  1 Si 2.41
Br5 0.7511 0.7511 0.4217  1 Si 2.41
Br6 0.7666 0.4322 0.7561  1 Si 2.41

=====

[5]
Compound: CsSiBr
Source: Alexandria via LeMat-Bulk
Functional: PBE
Structure: optimized geometry

Output
SG: R3m (160)
DFT total energy, eV/cell: -20.1

Lattice parameters (Å, degrees): 14.1167 14.1167 14.1167 16.94 16.94 16.94
Closest atoms and distances in Å follow each position.
Fractional coordinates of all 6 atoms:
Cs1 0.0000 0.0000 0.0000  6 Br 3.47-3.51
Cs2 0.1224 0.1224 0.1224  3 Br 3.50, 4 Si 3.78-3.90
Si1 0.2130 0.2130 0.2130  3 Si 2.51, 1 Br 2.52
Si2 0.5292 0.5292 0.5292  3 Si 2.51
Br1 0.2733 0.2733 0.2733  1 Si 2.52
Br2 0.7280 0.7280 0.7280  6 Cs 3.50-3.51

=====

[6]
Compound: CsSiBr2
Source: Alexandria via LeMat-Bulk
Functional: PBE
Structure: optimized geometry

Output
SG: Fm-3m (225)
DFT total energy, eV/cell: -10.5

Lattice parameters (Å, degrees): 5.7528 5.7528 5.7528 60.00 60.00 60.00
Closest atoms and distances in Å follow each position.
Fractional coordinates of all 4 atoms:
Cs1 0.0000 0.0000 0.0000  8 Br 3.52
Si1 0.5000 0.5000 0.5000  8 Br 3.52
Br1 0.2500 0.2500 0.2500  4 Si 3.52, 4 Cs 3.52
Br2 0.7500 0.7500 0.7500  4 Cs 3.52, 4 Si 3.52

=====

[7]
Compound: CsSiBr2
Source: Alexandria via LeMat-Bulk
Functional: PBE
Structure: optimized geometry

Output
SG: R-3m (166)
DFT total energy, eV/cell: -10.6

Lattice parameters (Å, degrees): 9.8714 9.8714 9.8714 26.67 26.67 26.67
Closest atoms and distances in Å follow each position.
Fractional coordinates of all 4 atoms:
Cs1 0.0000 0.0000 0.0000  2 Br 3.45
Si1 0.5000 0.5000 0.5000  6 Br 2.94
Br1 0.1208 0.1208 0.1208  3 Si 2.94
Br2 0.8792 0.8792 0.8792  3 Si 2.94

=====

[8]
Compound: CsSi3Br
Source: Alexandria via LeMat-Bulk
Functional: PBE
Structure: optimized geometry

Output
SG: Pm-3m (221)
DFT total energy, eV/cell: -8.1

Lattice parameters (Å, degrees): 5.8116 5.8116 5.8116 90.00 90.00 90.00
Closest atoms and distances in Å follow each position.
Fractional coordinates of all 5 atoms:
Cs1 0.0000 0.0000 0.0000  6 Si 2.91
Si1 0.0000 0.0000 0.5000  2 Cs 2.91
Si2 0.0000 0.5000 0.0000  2 Cs 2.91
Si3 0.5000 0.0000 0.0000  2 Cs 2.91
Br1 0.5000 0.5000 0.5000  12 Si 4.11

=====

[9]
Compound: Cs2SiBr
Source: Alexandria via LeMat-Bulk
Functional: PBE
Structure: optimized geometry

Output
SG: I-42d (122)
DFT total energy, eV/cell: -19.9

Lattice parameters (Å, degrees): 8.7073 8.7073 8.7073 113.44 113.44 101.80
Closest atoms and distances in Å follow each position.
Fractional coordinates of all 8 atoms:
Cs1 0.1063 0.1250 0.4813  2 Br 3.53, 2 Si 3.77
Cs2 0.3750 0.8937 0.0187  2 Br 3.53, 2 Si 3.77
Cs3 0.6437 0.6250 0.5187  2 Br 3.53, 2 Si 3.77
Cs4 0.8750 0.3563 0.9813  2 Br 3.53, 2 Si 3.77
Si1 0.2500 0.7500 0.5000  4 Cs 3.77
Si2 0.5000 0.5000 0.0000  4 Cs 3.77
Br1 0.0000 0.0000 0.0000  4 Cs 3.53
Br2 0.7500 0.2500 0.5000  4 Cs 3.53

=====

[10]
Compound: CsSiBr
Source: Alexandria via LeMat-Bulk
Functional: PBE
Structure: optimized geometry

Output
SG: R3m (160)
DFT total energy, eV/cell: -20.2

Lattice parameters (Å, degrees): 13.9525 13.9525 13.9525 17.16 17.16 17.16
Closest atoms and distances in Å follow each position.
Fractional coordinates of all 6 atoms:
Cs1 0.0000 0.0000 0.0000  6 Br 3.47-3.49
Cs2 0.2102 0.2102 0.2102  3 Br 3.50, 3 Si 3.80
Si1 0.4721 0.4721 0.4721  3 Si 2.50
Si2 0.7888 0.7888 0.7888  3 Si 2.50, 1 Br 2.53
Br1 0.6052 0.6052 0.6052  6 Cs 3.49-3.50
Br2 0.7275 0.7275 0.7275  1 Si 2.53

=====

[11]
Compound: CsSi3Br
Source: Alexandria via LeMat-Bulk
Functional: PBE
Structure: optimized geometry

Output
SG: Pm-3m (221)
DFT total energy, eV/cell: -13.1

Lattice parameters (Å, degrees): 5.3400 5.3400 5.3400 90.00 90.00 90.00
Closest atoms and distances in Å follow each position.
Fractional coordinates of all 5 atoms:
Cs1 0.0000 0.0000 0.0000  12 Si 3.78
Si1 0.0000 0.5000 0.5000  2 Br 2.67
Si2 0.5000 0.0000 0.5000  2 Br 2.67
Si3 0.5000 0.5000 0.0000  2 Br 2.67
Br1 0.5000 0.5000 0.5000  6 Si 2.67

=====

[12]
Compound: CsSiBr
Source: Alexandria via LeMat-Bulk
Functional: PBE
Structure: optimized geometry

Output
SG: Cm (8)
DFT total energy, eV/cell: -20.0

Lattice parameters (Å, degrees): 12.3966 12.3966 4.6688 94.52 94.52 18.53
Closest atoms and distances in Å follow each position.
Fractional coordinates of all 6 atoms:
Cs1 0.0000 0.0000 0.0000  4 Br 3.81-3.82, 5 Si 3.84-4.00, 2 Cs 3.99
Cs2 0.1795 0.1795 0.0766  8 Br 3.67-3.73, 2 Cs 3.99
Si1 0.4002 0.4002 0.4302  2 Si 2.29
Si2 0.8585 0.8585 0.5173  2 Si 2.29, 1 Br 2.43
Br1 0.5928 0.5928 0.5396  8 Cs 3.73-3.82, 3 Br 3.99-4.13
Br2 0.7621 0.7621 0.6100  1 Si 2.43

=====

- What is the formula in the fifth record?
  CsSiBr

=====

Repeat the tenth record exactly.
Compound: CsSiBr
Source: Alexandria via LeMat-Bulk
Functional: PBE
Structure: optimized geometry

Output
SG: R3m (160)
DFT total energy, eV/cell: -20.2

Lattice parameters (Å, degrees): 13.9525 13.9525 13.9525 17.16 17.16 17.16
Closest atoms and distances in Å follow each position.
Fractional coordinates of all 6 atoms:
Cs1 0.0000 0.0000 0.0000  6 Br 3.47-3.49
Cs2 0.2102 0.2102 0.2102  3 Br 3.50, 3 Si 3.80
Si1 0.4721 0.4721 0.4721  3 Si 2.50
Si2 0.7888 0.7888 0.7888  3 Si 2.50, 1 Br 2.53
Br1 0.6052 0.6052 0.6052  6 Cs 3.49-3.50
Br2 0.7275 0.7275 0.7275  1 Si 2.53

=====

- Which value of DFT total energy does entry 2 give?
  -20.2 eV/cell

=====

- Look up the DFT total energy of the first one.
  -22.1 eV/cell